#i
The following is a PBE with a Hubbard U calculation of crystalline CoIO at its relaxed geometry, from OQMD.

```
data_CoIO
_cell_length_a 3.583
_cell_length_b 3.583
_cell_length_c 9.297
_cell_angle_alpha 90.00
_cell_angle_beta 90.00
_cell_angle_gamma 90.00
_space_group_name_H-M_alt 'P 4/n m m'
_space_group_IT_number 129
loop_
_space_group_symop_operation_xyz
'x,y,z'
'-x,-y,-z'
'-y+1/2,x,z'
'y+1/2,-x,-z'
'-x+1/2,-y+1/2,z'
'x+1/2,y+1/2,-z'
'y,-x+1/2,z'
'-y,x+1/2,-z'
'x+1/2,-y,-z'
'-x+1/2,y,z'
'-y,-x,-z'
'y,x,z'
'-x,y+1/2,-z'
'x,-y+1/2,z'
'y+1/2,x+1/2,-z'
'-y+1/2,-x+1/2,z'
loop_
_atom_site_label
_atom_site_type_symbol
_atom_site_fract_x
_atom_site_fract_y
_atom_site_fract_z
_atom_site_occupancy
Co1 Co 0.250 0.250 0.089 1
I1 I 0.250 0.250 0.672 1
O1 O 0.250 0.750 0.000 1
```


#ii
The following is a PBE with a Hubbard U calculation of crystalline CoIO at its relaxed geometry, from OQMD.

```
data_CoIO
_cell_length_a 3.521
_cell_length_b 3.822
_cell_length_c 8.248
_cell_angle_alpha 90.00
_cell_angle_beta 90.00
_cell_angle_gamma 90.00
_space_group_name_H-M_alt 'P m m n'
_space_group_IT_number 59
loop_
_space_group_symop_operation_xyz
'x,y,z'
'-x,-y,-z'
'-x+1/2,-y+1/2,z'
'x+1/2,y+1/2,-z'
'x+1/2,-y,-z'
'-x+1/2,y,z'
'-x,y+1/2,-z'
'x,-y+1/2,z'
loop_
_atom_site_label
_atom_site_type_symbol
_atom_site_fract_x
_atom_site_fract_y
_atom_site_fract_z
_atom_site_occupancy
Co1 Co 0.250 0.250 0.090 1
I1 I 0.250 0.750 0.658 1
O1 O 0.250 0.750 0.045 1
```


How far above the most stable structure does each one sit? In meV per atom: #i 0; #ii 398.